Below is crystalline Ti3CrH at its relaxed geometry, with properties calculated at the PBE level.

abc: 4.5159 4.5159 4.5159
angles: 90.00 90.00 90.00
With the nearest neighbours (Å) after each atom.
Fractional coordinates of all 5 atoms:
Ti 0.0000 0.0000 0.5000  2 Cr 2.26
Ti 0.0000 0.5000 0.0000  2 Cr 2.26
Ti 0.5000 0.0000 0.0000  2 Cr 2.26
Cr 0.0000 0.0000 0.0000  6 Ti 2.26
H 0.5000 0.5000 0.5000  12 Ti 3.19

Values from the calculation:
**E_tot**: -30.792 eV for the cell shown